No. 1
Material: NiOs
Method: DFT, GGA-PBE
State: relaxed

Cell: 4.0292 4.0292 4.8323 Å, 90.00 90.00 120.00°
With the nearest neighbours (Å) after each atom.
Fractional positions:
Ni 0.3333 0.6667 0.2500  5 Os 2.33-2.42
Os 0.3333 0.6667 0.7500  5 Ni 2.33-2.42
Ni 0.6667 0.3333 0.7500  5 Os 2.33-2.42
Os 0.6667 0.3333 0.2500  5 Ni 2.33-2.42

Computed properties:
- total DFT energy (no corrections) (eV per atom) = -7.0084
- formation enthalpy at 0 K (kcal/mol of atoms) = 34.5

No. 2
Material: Na4Li2Tl5
Method: DFT, GGA-PBE
State: relaxed

Cell: 3.5005 8.3506 19.4306 Å, 90.00 90.00 90.00°
With the nearest neighbours (Å) after each atom.
Fractional positions:
Tl 0.0000 0.7678 0.7804  4 Li 2.99-3.01
Tl 0.0000 0.7322 0.2804  4 Li 2.99-3.01
Na 0.5000 0.1927 0.0681  1 Li 3.23, 8 Tl 3.33-3.44, 3 Na 3.41-3.50
Tl 0.0000 0.1456 0.9234  2 Li 2.99, 1 Tl 3.31, 4 Na 3.33-3.34
Na 0.5000 0.5536 0.1500  2 Li 3.14-3.38, 8 Tl 3.38-3.48, 3 Na 3.41-3.50
Tl 0.0000 0.3544 0.4234  2 Li 2.99, 1 Tl 3.31, 4 Na 3.33-3.34
Na 0.5000 0.0536 0.3500  2 Li 3.14-3.38, 8 Tl 3.38-3.48, 3 Na 3.41-3.50
Tl 0.0000 0.0000 0.5000  4 Tl 3.31-3.50, 8 Na 3.38-3.43
Tl 0.0000 0.8544 0.0766  2 Li 2.99, 1 Tl 3.31, 4 Na 3.33-3.34
Tl 0.0000 0.2678 0.7196  4 Li 2.99-3.01
Li 0.5000 0.5559 0.6955  6 Tl 2.99-3.01, 2 Na 3.14-3.23
Na 0.5000 0.3073 0.5681  1 Li 3.23, 8 Tl 3.33-3.44, 3 Na 3.41-3.50
Na 0.5000 0.4464 0.8500  2 Li 3.14-3.38, 8 Tl 3.38-3.48, 3 Na 3.41-3.50
Tl 0.0000 0.5000 0.0000  4 Tl 3.31-3.50, 8 Na 3.38-3.43
Na 0.5000 0.6927 0.4319  1 Li 3.23, 8 Tl 3.33-3.44, 3 Na 3.41-3.50
Li 0.5000 0.4441 0.3045  6 Tl 2.99-3.01, 2 Na 3.14-3.23
Li 0.5000 0.9441 0.1955  6 Tl 2.99-3.01, 2 Na 3.14-3.23
Li 0.5000 0.0559 0.8045  6 Tl 2.99-3.01, 2 Na 3.14-3.23
Na 0.5000 0.8073 0.9319  1 Li 3.23, 8 Tl 3.33-3.44, 3 Na 3.41-3.50
Tl 0.0000 0.2322 0.2196  4 Li 2.99-3.01
Tl 0.0000 0.6456 0.5766  2 Li 2.99, 1 Tl 3.31, 4 Na 3.33-3.34
Na 0.5000 0.9464 0.6500  2 Li 3.14-3.38, 8 Tl 3.38-3.48, 3 Na 3.41-3.50

Computed properties:
- total DFT energy (no corrections) (eV per atom) = -2.0371
- formation enthalpy at 0 K (kcal/mol of atoms) = -3.1

No. 3
Material: TePt3
Method: DFT, GGA-PBE
State: relaxed

Cell: 6.1549 6.1549 6.1549 Å, 37.47 37.47 37.47°
With the nearest neighbours (Å) after each atom.
Fractional positions:
Pt 0.7543 0.7543 0.7543  3 Pt 2.65, 3 Te 2.73
Te 0.0000 0.0000 0.0000  6 Pt 2.73
Pt 0.5000 0.5000 0.5000  6 Pt 2.65
Pt 0.2457 0.2457 0.2457  3 Pt 2.65, 3 Te 2.73

Computed properties:
- total DFT energy (no corrections) (eV per atom) = -5.3208
- formation energy without anion corrections (eV/atom) = 0.00

No. 4
Material: LiTiAl
Method: DFT, GGA-PBE
State: relaxed

Cell: 2.7408 4.1370 8.8430 Å, 90.00 90.24 90.00°
With the nearest neighbours (Å) after each atom.
Fractional positions:
Ti 0.5603 0.0000 0.1288  3 Ti 2.74-2.76, 8 Al 2.84-2.86, 1 Li 2.86
Li 0.0570 0.5000 0.6233  6 Li 2.74-2.92, 2 Al 2.99-3.04, 4 Ti 3.01-3.02
Al 0.0578 0.5000 0.9675  3 Al 2.74-2.81, 8 Ti 2.81-2.86, 1 Li 3.04
Al 0.0625 0.5000 0.2855  3 Al 2.74-2.81, 4 Ti 2.84, 5 Li 2.89-2.99
Li 0.5636 0.0000 0.4527  6 Li 2.74-2.92, 1 Ti 2.86, 4 Al 2.89
Ti 0.5560 0.0000 0.8171  3 Ti 2.74-2.76, 4 Al 2.81-2.82, 4 Li 3.01-3.02

Computed properties:
- total DFT energy (no corrections) (eV per atom) = -4.6446
- formation enthalpy at 0 K (kcal/mol of atoms) = -2.9
- energy above the lowest structure with this stoichiometry (meV/atom) = 80